VASP calculation (PBE-GGA) on crystalline Ca2YSi at its relaxed geometry.

As for the symmetry: P4/mmm, No. 123. For the total energy, the calculation gives -4.1255 eV per atom. As for the crystal system: tetragonal. As for the size of the total moment: 0.00 μB/f.u. For the formation energy from raw total energies, the calculation gives -153 meV per atom.

The structure in CIF format:
```
data_Ca2YSi
_chemical_formula_sum 'Ca2 Y1 Si1'
_cell_length_a 4.6428
_cell_length_b 4.6428
_cell_length_c 5.0093
_cell_angle_alpha 90.00
_cell_angle_beta 90.00
_cell_angle_gamma 90.00
_symmetry_space_group_name_H-M 'P 1'
_symmetry_Int_Tables_number 1
_symmetry_space_group_name_Hall 'P 1'
loop_
_atom_site_label
_atom_site_fract_x
_atom_site_fract_y
_atom_site_fract_z
Ca1 0.0000 0.5000 0.0000
Ca2 0.5000 0.0000 0.0000
Y1 0.0000 0.0000 0.5000
Si1 0.5000 0.5000 0.5000
```